# 1
First-principles (GGA-PBEsol) data for a geometry-optimized Ta2CrRu structure, as listed in Alexandria.

The space group is Cmmm (No. 65) and the conventional cell measures 3.1361, 4.6035 and 8.3150 Å, with angles of 90.00, 90.00 and 90.00 degrees. The asymmetric unit holds Ta at (0.0000, 0.0000, 0.2425), Cr at (0.0000, 0.5000, 0.0000) and Ru at (0.0000, 0.5000, 0.5000).

As for the uncorrected energy: -91.0 eV for the cell shown. Its energy above the lowest structure with this stoichiometry is 6.51 kcal/mol of atoms. Its energy of formation is 0.0 eV/f.u.



# 2
First-principles (GGA-PBEsol) data for a geometry-optimized Ta2CrRu structure, as listed in Alexandria.

The space group is P4/mmm (No. 123) and the conventional cell measures 3.0875, 3.0875 and 6.2201 Å, with angles of 90.00, 90.00 and 90.00 degrees. The asymmetric unit holds Ta at (0.0000, 0.0000, 0.2397), Cr at (0.5000, 0.5000, 0.0000) and Ru at (0.5000, 0.5000, 0.5000).

As for the uncorrected energy: -46.6 eV for the cell shown. Its energy above the lowest structure with this stoichiometry is 0.00 kcal/mol of atoms. Its energy of formation is -1.1 eV/f.u.



# 3
First-principles (GGA-PBEsol) data for a geometry-optimized Ta2CrRu structure, as listed in Alexandria.

The space group is Pm (No. 6) and the conventional cell measures 2.7955, 4.3475 and 5.0397 Å, with angles of 90.00, 101.32 and 90.00 degrees. The asymmetric unit holds Ta at (0.0000, 0.0000, 0.0000), Ta at (0.2698, 0.5000, 0.7197), Cr at (0.7680, 0.5000, 0.2184) and Ru at (0.5195, 0.0000, 0.4865).

As for the uncorrected energy: -45.6 eV for the cell shown. Its energy above the lowest structure with this stoichiometry is 5.90 kcal/mol of atoms. Its energy of formation is -0.1 eV/f.u.



# 4
First-principles (GGA-PBEsol) data for a geometry-optimized Ta2CrRu structure, as listed in Alexandria.

The space group is Fm-3m (No. 225) and the conventional cell measures 6.1954, 6.1954 and 6.1954 Å, with angles of 90.00, 90.00 and 90.00 degrees. The asymmetric unit holds Ta at (0.2500, 0.2500, 0.2500), Cr at (0.0000, 0.0000, 0.0000) and Ru at (0.0000, 0.0000, 0.5000).

As for the uncorrected energy: -186.2 eV for the cell shown. Its energy above the lowest structure with this stoichiometry is 0.42 kcal/mol of atoms. Its energy of formation is -1.0 eV/f.u.



Q: energy of formation of number 1 (Ta2CrRu)?
A: 0.0 eV/f.u.



Repeat the second record exactly.
First-principles (GGA-PBEsol) data for a geometry-optimized Ta2CrRu structure, as listed in Alexandria.

The space group is P4/mmm (No. 123) and the conventional cell measures 3.0875, 3.0875 and 6.2201 Å, with angles of 90.00, 90.00 and 90.00 degrees. The asymmetric unit holds Ta at (0.0000, 0.0000, 0.2397), Cr at (0.5000, 0.5000, 0.0000) and Ru at (0.5000, 0.5000, 0.5000).

As for the uncorrected energy: -46.6 eV for the cell shown. Its energy above the lowest structure with this stoichiometry is 0.00 kcal/mol of atoms. Its energy of formation is -1.1 eV/f.u.